(1)
VASP calculation (PBE-GGA) on crystalline InCuHgW at its relaxed geometry.

It has space group F-43m (No. 216), with a = 6.621 Å, b = 6.621 Å, c = 6.621 Å, α = 90.00°, β = 90.00° and γ = 90.00°. The distinct sites, in fractional coordinates, are In at (0.000, 0.000, 0.000), Cu at (0.250, 0.250, 0.250), Hg at (0.250, 0.250, 0.750) and W at (0.000, 0.000, 0.500).

The calculation puts the relative energy among the computed polymorphs at 79 meV/atom. For the magnetization, the calculation gives 2.0 μB per formula unit. The total energy comes out at -4.0379 eV/atom.

=====

(2)
VASP calculation (PBE-GGA) on crystalline YCoC2 at its relaxed geometry.

It has space group P6_3/mmc (No. 194), with a = 3.4366 Å, b = 3.4366 Å, c = 9.1572 Å, α = 90.00°, β = 90.00° and γ = 120.00°. The distinct sites, in fractional coordinates, are Y at (0.0000, 0.0000, 0.0000), Co at (0.3333, 0.6667, 0.2500) and C at (0.3333, 0.6667, 0.6740).

For the magnetization, the calculation gives 0.0 μB per formula unit. The total energy comes out at -8.1329 eV/atom.

=====

(3)
VASP calculation (PBE-GGA) on crystalline AcFe at its relaxed geometry.

It has space group F-43m (No. 216), with a = 6.012 Å, b = 6.012 Å, c = 6.012 Å, α = 90.00°, β = 90.00° and γ = 90.00°. The distinct sites, in fractional coordinates, are Ac at (0.000, 0.000, 0.000) and Fe at (0.250, 0.250, 0.750).

For the magnetization, the calculation gives 0.7 μB per formula unit. The total energy comes out at -4.9066 eV/atom.

=====

(4)
VASP calculation (PBE-GGA) on crystalline AcLuU at its relaxed geometry.

It has space group F-43m (No. 216), with a = 7.636 Å, b = 7.636 Å, c = 7.636 Å, α = 90.00°, β = 90.00° and γ = 90.00°. The distinct sites, in fractional coordinates, are Ac at (0.000, 0.000, 0.000), Lu at (0.000, 0.000, 0.500) and U at (0.250, 0.250, 0.750).

The calculation puts the relative energy among the computed polymorphs at 0 meV/atom. For the magnetization, the calculation gives 4.2 μB per formula unit. The total energy comes out at -5.3604 eV/atom.

=====

(5)
VASP calculation (PBE-GGA) on crystalline BaLaAg2 at its relaxed geometry.

It has space group Pmn2_1 (No. 31), with a = 5.051 Å, b = 8.011 Å, c = 6.190 Å, α = 90.00°, β = 90.00° and γ = 90.00°. The distinct sites, in fractional coordinates, are Ba at (0.000, 0.068, 0.000), La at (0.000, 0.565, 0.220), Ag at (0.000, 0.244, 0.499) and Ag at (0.000, 0.683, 0.726).

For the magnetization, the calculation gives 0.0 μB per formula unit. The total energy comes out at -3.3656 eV/atom.

=====

(6)
VASP calculation (PBE-GGA) on crystalline HoGaSnTe3 at its relaxed geometry.

It has space group Cmcm (No. 63), with a = 4.431 Å, b = 14.822 Å, c = 10.993 Å, α = 90.00°, β = 90.00° and γ = 90.00°. The distinct sites, in fractional coordinates, are Ho at (0.000, 0.000, 0.000), Ga at (0.000, 0.466, 0.250), Sn at (0.000, 0.249, 0.750), Te at (0.000, 0.100, 0.250) and Te at (0.000, 0.354, 0.041).

The calculation puts the relative energy among the computed polymorphs at 0 meV/atom. For the magnetization, the calculation gives 0.0 μB per formula unit. The total energy comes out at -4.0488 eV/atom.

=====

(7)
VASP calculation (PBE-GGA) on crystalline Ba2LuRe at its relaxed geometry.

It has space group F-43m (No. 216), with a = 7.779 Å, b = 7.779 Å, c = 7.779 Å, α = 90.00°, β = 90.00° and γ = 90.00°. The distinct sites, in fractional coordinates, are Ba at (0.000, 0.000, 0.000), Ba at (0.250, 0.250, 0.250), Lu at (0.250, 0.250, 0.750) and Re at (0.000, 0.000, 0.500).

For the magnetization, the calculation gives 0.0 μB per formula unit. The total energy comes out at -4.2597 eV/atom.

=====

(8)
VASP calculation (PBE-GGA) on crystalline Sr4TaSn2 at its relaxed geometry.

It has space group Cm (No. 8), with a = 6.367 Å, b = 3.679 Å, c = 20.717 Å, α = 90.00°, β = 90.28° and γ = 90.00°. The distinct sites, in fractional coordinates, are Sr at (0.000, 0.000, 0.000), Sr at (0.001, 0.000, 0.533), Sr at (0.335, 0.000, 0.709), Sr at (0.336, 0.000, 0.255), Ta at (0.333, 0.000, 0.409), Sn at (0.003, 0.000, 0.841) and Sn at (0.168, 0.500, 0.128).

For the magnetization, the calculation gives 0.6 μB per formula unit. The total energy comes out at -3.3689 eV/atom.